The following is a DFT calculation (PBE with a Hubbard U) of a geometry-optimized Na3Er3VO8 structure.

Results
V = 209.3 Å³ per cell
uncorrected energy = -6.99 eV/atom

a = 6.6049 Å, b = 6.6049 Å, c = 6.7212 Å
α = 119.32°, β = 119.32°, γ = 59.92°
Sites, in units of the cell vectors:
Na: 0.0000 0.0000 0.0000
Na: 0.0000 0.5000 0.0000
Na: 0.5000 0.0000 0.0000
Er: 0.0000 0.5000 0.5000
Er: 0.5000 0.0000 0.5000
Er: 0.5000 0.5000 0.5000
V: 0.0000 0.0000 0.5000
O: 0.2134 0.7650 0.6917
O: 0.2156 0.2156 0.6938
O: 0.2350 0.7866 0.3083
O: 0.2636 0.2636 0.2898
O: 0.7364 0.7364 0.7102
O: 0.7650 0.2134 0.6917
O: 0.7844 0.7844 0.3062
O: 0.7866 0.2350 0.3083